(1)
BaYTa2: relaxed, PBE.

Lattice parameters (Å, degrees): 6.069 6.069 6.069 140.68 134.94 61.32
Fractional positions:
Ba 0.000 0.000 0.000
Y 0.500 0.500 0.000
Ta 0.253 0.753 0.500
Ta 0.747 0.247 0.500

Calculated values
Formation enthalpy at 0 K (eV/atom): 1.03
Fermi-level density of states (states/eV per cell): 4.13
Polymorph energy (0 for the lowest one) (meV/atom): 598

---

(2)
TaCuAu3: relaxed, PBE.

Lattice parameters (Å, degrees): 5.123 5.123 5.123 90.00 90.00 90.00
Fractional positions:
Ta 0.000 0.000 0.000
Cu 0.500 0.500 0.500
Au 0.000 0.000 0.500
Au 0.000 0.500 0.000
Au 0.500 0.000 0.000

Calculated values
Formation enthalpy at 0 K (eV/atom): 1.18
Fermi-level density of states (states/eV per cell): 2.66
Polymorph energy (0 for the lowest one) (meV/atom): 212

---

(3)
BaCeSm2: relaxed, PBE.

Lattice parameters (Å, degrees): 3.683 3.683 10.882 90.00 90.00 90.00
Fractional positions:
Ba 0.000 0.000 0.000
Ce 0.000 0.000 0.500
Sm 0.500 0.500 0.291
Sm 0.500 0.500 0.709

Calculated values
Formation enthalpy at 0 K (eV/atom): 0.15
Fermi-level density of states (states/eV per cell): 6.88
Polymorph energy (0 for the lowest one) (meV/atom): 0